{
  "formula": "Ac2ZnGe",
  "functional": "PBE",
  "state": "relaxed",
  "cell": [[5.393, 0.000, 0.000], [0.000, 5.393, 0.000], [0.000, 0.000, 4.081]],
  "species": ["Ac", "Ac", "Zn", "Ge"],
  "frac_coords": [[0.000, 0.500, 0.000], [0.500, 0.000, 0.000], [0.000, 0.000, 0.500], [0.500, 0.500, 0.500]],
  "dft_energy_ev_per_cell": -15.82,
  "density_g_cm3": 8.28,
  "vol_a3_per_atom": 29.68
}